1.
{
  "formula": "Pm2Dy4Pb3O2",
  "functional": "GGA-PBE",
  "state": "optimized geometry",
  "lattice_angstrom": [[-2.3423, 2.3423, 12.8632], [2.3423, -2.3423, 12.8632], [2.3423, 2.3423, -12.8632]],
  "species": ["Pm", "Pm", "Dy", "Dy", "Dy", "Dy", "Pb", "Pb", "Pb", "O", "O"],
  "fractional_positions": [[0.1941, 0.1941, 0.0000], [0.8059, 0.8059, 0.0000], [0.0827, 0.5827, 0.5000], [0.4173, 0.9173, 0.5000], [0.5827, 0.0827, 0.5000], [0.9173, 0.4173, 0.5000], [0.3231, 0.3231, 0.0000], [0.5000, 0.5000, 0.0000], [0.6769, 0.6769, 0.0000], [0.0950, 0.0950, 0.0000], [0.9050, 0.9050, 0.0000]],
  "dos_ef_per_ev_fu": 7.6,
  "crystal_system": "tetragonal",
  "e_form_raw_ev_per_atom": -1.41
}

2.
{
  "formula": "Pm4Dy2Pb3O2",
  "functional": "GGA-PBE",
  "state": "optimized geometry",
  "lattice_angstrom": [[-2.3974, 2.3974, 12.8384], [2.3974, -2.3974, 12.8384], [2.3974, 2.3974, -12.8384]],
  "species": ["Pm", "Pm", "Pm", "Pm", "Dy", "Dy", "Pb", "Pb", "Pb", "O", "O"],
  "fractional_positions": [[0.0843, 0.5843, 0.5000], [0.4157, 0.9157, 0.5000], [0.5843, 0.0843, 0.5000], [0.9157, 0.4157, 0.5000], [0.1931, 0.1931, 0.0000], [0.8069, 0.8069, 0.0000], [0.3185, 0.3185, 0.0000], [0.5000, 0.5000, 0.0000], [0.6815, 0.6815, 0.0000], [0.1051, 0.1051, 0.0000], [0.8949, 0.8949, 0.0000]],
  "dos_ef_per_ev_fu": 4.0,
  "crystal_system": "tetragonal",
  "e_form_raw_ev_per_atom": -1.36
}

3.
{
  "formula": "PrDyPbO2",
  "functional": "GGA-PBE",
  "state": "optimized geometry",
  "lattice_angstrom": [[-1.9654, 1.9654, 7.2322], [1.9654, -1.9654, 7.2322], [1.9654, 1.9654, -7.2322]],
  "species": ["Pr", "Dy", "Pb", "O", "O"],
  "fractional_positions": [[0.0000, 0.0000, 0.0000], [0.3383, 0.3383, 0.0000], [0.6700, 0.6700, 0.0000], [0.4116, 0.9116, 0.5000], [0.9116, 0.4116, 0.5000]],
  "dos_ef_per_ev_fu": 2.2,
  "crystal_system": "tetragonal",
  "e_form_raw_ev_per_atom": -2.47
}

4.
{
  "formula": "Pr2Dy4Pb3O2",
  "functional": "GGA-PBE",
  "state": "optimized geometry",
  "lattice_angstrom": [[-2.3497, 2.3497, 12.9688], [2.3497, -2.3497, 12.9688], [2.3497, 2.3497, -12.9688]],
  "species": ["Pr", "Pr", "Dy", "Dy", "Dy", "Dy", "Pb", "Pb", "Pb", "O", "O"],
  "fractional_positions": [[0.1948, 0.1948, 0.0000], [0.8052, 0.8052, 0.0000], [0.0820, 0.5820, 0.5000], [0.4180, 0.9180, 0.5000], [0.5820, 0.0820, 0.5000], [0.9180, 0.4180, 0.5000], [0.3249, 0.3249, 0.0000], [0.5000, 0.5000, 0.0000], [0.6751, 0.6751, 0.0000], [0.0928, 0.0928, 0.0000], [0.9072, 0.9072, 0.0000]],
  "dos_ef_per_ev_fu": 8.0,
  "crystal_system": "tetragonal",
  "e_form_raw_ev_per_atom": -1.41
}

5.
{
  "formula": "DyPtPbO6",
  "functional": "GGA-PBE",
  "state": "optimized geometry",
  "lattice_angstrom": [[5.5508, 0.0000, 0.0000], [-2.7754, 4.8072, 0.0000], [0.0000, 0.0000, 9.1581]],
  "species": ["Dy", "Dy", "Pt", "Pt", "Pb", "Pb", "O", "O", "O", "O", "O", "O", "O", "O", "O", "O", "O", "O"],
  "fractional_positions": [[0.3333, 0.6667, 0.2500], [0.6667, 0.3333, 0.7500], [0.3333, 0.6667, 0.7500], [0.6667, 0.3333, 0.2500], [0.0000, 0.0000, 0.0000], [0.0000, 0.0000, 0.5000], [0.0325, 0.3671, 0.6270], [0.0325, 0.6654, 0.8730], [0.3346, 0.3671, 0.8730], [0.3346, 0.9675, 0.6270], [0.3671, 0.0325, 0.1270], [0.3671, 0.3346, 0.3730], [0.6329, 0.6654, 0.6270], [0.6329, 0.9675, 0.8730], [0.6654, 0.0325, 0.3730], [0.6654, 0.6329, 0.1270], [0.9675, 0.3346, 0.1270], [0.9675, 0.6329, 0.3730]],
  "dos_ef_per_ev_fu": 5.6,
  "crystal_system": "trigonal",
  "e_form_raw_ev_per_atom": -1.33
}

6.
{
  "formula": "DyPtPb2O6",
  "functional": "GGA-PBE",
  "state": "optimized geometry",
  "lattice_angstrom": [[5.8408, 0.0000, 0.0000], [0.0000, 5.8959, 0.0000], [-5.8264, 0.0000, 8.2938]],
  "species": ["Dy", "Dy", "Pt", "Pt", "Pb", "Pb", "Pb", "Pb", "O", "O", "O", "O", "O", "O", "O", "O", "O", "O", "O", "O"],
  "fractional_positions": [[0.0000, 0.0000, 0.0000], [0.0000, 0.5000, 0.5000], [0.5000, 0.0000, 0.5000], [0.5000, 0.5000, 0.0000], [0.2601, 0.0359, 0.7524], [0.2601, 0.4641, 0.2524], [0.7399, 0.5359, 0.7476], [0.7399, 0.9641, 0.2476], [0.1788, 0.0235, 0.2650], [0.1788, 0.4765, 0.7650], [0.2717, 0.6973, 0.0461], [0.2717, 0.8027, 0.5461], [0.3517, 0.2212, 0.0423], [0.3517, 0.2788, 0.5423], [0.6483, 0.7212, 0.4577], [0.6483, 0.7788, 0.9577], [0.7283, 0.1973, 0.4539], [0.7283, 0.3027, 0.9539], [0.8212, 0.5235, 0.2350], [0.8212, 0.9765, 0.7350]],
  "dos_ef_per_ev_fu": 5.1,
  "crystal_system": "monoclinic",
  "e_form_raw_ev_per_atom": -1.48
}

7.
{
  "formula": "DyPuPb2O6",
  "functional": "GGA-PBE",
  "state": "optimized geometry",
  "lattice_angstrom": [[5.9894, 0.0000, 0.0000], [0.0000, 6.1134, 0.0000], [-5.9789, 0.0000, 8.5917]],
  "species": ["Dy", "Dy", "Pu", "Pu", "Pb", "Pb", "Pb", "Pb", "O", "O", "O", "O", "O", "O", "O", "O", "O", "O", "O", "O"],
  "fractional_positions": [[0.0000, 0.0000, 0.0000], [0.0000, 0.5000, 0.5000], [0.5000, 0.0000, 0.5000], [0.5000, 0.5000, 0.0000], [0.2432, 0.0317, 0.7485], [0.2432, 0.4683, 0.2485], [0.7568, 0.5317, 0.7515], [0.7568, 0.9683, 0.2515], [0.1614, 0.1929, 0.4547], [0.1614, 0.3071, 0.9547], [0.2612, 0.7098, 0.4517], [0.2612, 0.7902, 0.9517], [0.3510, 0.0262, 0.2570], [0.3510, 0.4738, 0.7570], [0.6490, 0.5262, 0.2430], [0.6490, 0.9738, 0.7430], [0.7388, 0.2098, 0.0483], [0.7388, 0.2902, 0.5483], [0.8386, 0.6929, 0.0453], [0.8386, 0.8071, 0.5453]],
  "dos_ef_per_ev_fu": 9.4,
  "crystal_system": "monoclinic",
  "e_form_raw_ev_per_atom": -2.30
}

8.
{
  "formula": "RbDyPbO3",
  "functional": "GGA-PBE",
  "state": "optimized geometry",
  "lattice_angstrom": [[7.1297, 0.0000, 0.0000], [0.0000, 3.5363, 0.0000], [-0.7251, 0.0000, 9.8941]],
  "species": ["Rb", "Rb", "Dy", "Dy", "Pb", "Pb", "O", "O", "O", "O", "O", "O"],
  "fractional_positions": [[0.1145, 0.2500, 0.1817], [0.8855, 0.7500, 0.8183], [0.4108, 0.2500, 0.8628], [0.5892, 0.7500, 0.1372], [0.2682, 0.7500, 0.5751], [0.7318, 0.2500, 0.4249], [0.1558, 0.2500, 0.6962], [0.3245, 0.7500, 0.9943], [0.4966, 0.2500, 0.2679], [0.5034, 0.7500, 0.7321], [0.6755, 0.2500, 0.0057], [0.8442, 0.7500, 0.3038]],
  "dos_ef_per_ev_fu": 0.0,
  "crystal_system": "monoclinic",
  "e_form_raw_ev_per_atom": -2.18
}

9.
{
  "formula": "DyRu2PbO8",
  "functional": "GGA-PBE",
  "state": "optimized geometry",
  "lattice_angstrom": [[5.9463, 0.0000, 0.0000], [-2.9732, 5.1497, 0.0000], [0.0000, 0.0000, 7.1389]],
  "species": ["Dy", "Ru", "Ru", "Pb", "O", "O", "O", "O", "O", "O", "O", "O"],
  "fractional_positions": [[0.0000, 0.0000, 0.0000], [0.3333, 0.6667, 0.2839], [0.6667, 0.3333, 0.7161], [0.0000, 0.0000, 0.5000], [0.1632, 0.3264, 0.2099], [0.1632, 0.8368, 0.2099], [0.3264, 0.1632, 0.7901], [0.3333, 0.6667, 0.5314], [0.6667, 0.3333, 0.4686], [0.6736, 0.8368, 0.2099], [0.8368, 0.1632, 0.7901], [0.8368, 0.6736, 0.7901]],
  "dos_ef_per_ev_fu": 5.4,
  "crystal_system": "trigonal",
  "e_form_raw_ev_per_atom": -1.31
}

10.
{
  "formula": "Dy2RuPbO8",
  "functional": "GGA-PBE",
  "state": "optimized geometry",
  "lattice_angstrom": [[3.5053, -3.5767, 0.0000], [3.5053, 3.5767, 0.0000], [0.0000, 0.0000, 6.8077]],
  "species": ["Dy", "Dy", "Ru", "Pb", "O", "O", "O", "O", "O", "O", "O", "O"],
  "fractional_positions": [[0.0000, 0.0000, 0.2493], [0.0000, 0.0000, 0.7507], [0.5000, 0.5000, 0.0000], [0.5000, 0.5000, 0.5000], [0.1922, 0.1922, 0.5000], [0.2330, 0.2330, 0.0000], [0.3172, 0.6828, 0.2160], [0.3172, 0.6828, 0.7840], [0.6828, 0.3172, 0.2160], [0.6828, 0.3172, 0.7840], [0.7670, 0.7670, 0.0000], [0.8078, 0.8078, 0.5000]],
  "dos_ef_per_ev_fu": 3.8,
  "crystal_system": "orthorhombic",
  "e_form_raw_ev_per_atom": -1.91
}

11.
{
  "formula": "DyRuPb2O8",
  "functional": "GGA-PBE",
  "state": "optimized geometry",
  "lattice_angstrom": [[4.9951, 0.0000, 0.0000], [0.0000, 6.7086, 0.0000], [-0.0357, 0.0000, 5.0169]],
  "species": ["Dy", "Ru", "Pb", "Pb", "O", "O", "O", "O", "O", "O", "O", "O"],
  "fractional_positions": [[0.0000, 0.0000, 0.0000], [0.0000, 0.5000, 0.0000], [0.5000, 0.2555, 0.5000], [0.5000, 0.7445, 0.5000], [0.1880, 0.2809, 0.1807], [0.1880, 0.7191, 0.1807], [0.2802, 0.5000, 0.7109], [0.3068, 0.0000, 0.6859], [0.6932, 0.0000, 0.3141], [0.7198, 0.5000, 0.2891], [0.8120, 0.2809, 0.8193], [0.8120, 0.7191, 0.8193]],
  "dos_ef_per_ev_fu": 3.2,
  "crystal_system": "monoclinic",
  "e_form_raw_ev_per_atom": -1.38
}

12.
{
  "formula": "Dy3PbSO",
  "functional": "GGA-PBE",
  "state": "optimized geometry",
  "lattice_angstrom": [[8.6822, 0.0000, 0.0000], [0.0000, 3.9220, 0.0000], [-2.2089, 0.0000, 8.6718]],
  "species": ["Dy", "Dy", "Dy", "Dy", "Dy", "Dy", "Pb", "Pb", "S", "S", "O", "O"],
  "fractional_positions": [[0.0635, 0.2500, 0.3456], [0.3318, 0.2500, 0.9762], [0.3873, 0.7500, 0.6433], [0.6127, 0.2500, 0.3567], [0.6682, 0.7500, 0.0238], [0.9365, 0.7500, 0.6544], [0.3102, 0.7500, 0.2682], [0.6898, 0.2500, 0.7318], [0.1611, 0.2500, 0.6598], [0.8389, 0.7500, 0.3402], [0.4117, 0.7500, 0.9013], [0.5883, 0.2500, 0.0987]],
  "dos_ef_per_ev_fu": 2.3,
  "crystal_system": "monoclinic",
  "e_form_raw_ev_per_atom": -1.80
}

13.
{
  "formula": "DyPbS2O8",
  "functional": "GGA-PBE",
  "state": "optimized geometry",
  "lattice_angstrom": [[4.6924, -2.7587, 0.0000], [4.6924, 2.7587, 0.0000], [-1.1459, 0.0000, 8.8109]],
  "species": ["Dy", "Pb", "S", "S", "O", "O", "O", "O", "O", "O", "O", "O"],
  "fractional_positions": [[0.0000, 0.0000, 0.0000], [0.0000, 0.0000, 0.5000], [0.3183, 0.3183, 0.7925], [0.6817, 0.6817, 0.2075], [0.1901, 0.6284, 0.8299], [0.1996, 0.1996, 0.8893], [0.2613, 0.2613, 0.6307], [0.3716, 0.8099, 0.1701], [0.6284, 0.1901, 0.8299], [0.7387, 0.7387, 0.3693], [0.8004, 0.8004, 0.1107], [0.8099, 0.3716, 0.1701]],
  "dos_ef_per_ev_fu": 3.2,
  "crystal_system": "monoclinic",
  "e_form_raw_ev_per_atom": -1.76
}

14.
{
  "formula": "DySbPb2O6",
  "functional": "GGA-PBE",
  "state": "optimized geometry",
  "lattice_angstrom": [[5.9218, 0.0000, 0.0000], [0.0000, 5.9296, 0.0000], [-5.9094, 0.0000, 8.3818]],
  "species": ["Dy", "Dy", "Sb", "Sb", "Pb", "Pb", "Pb", "Pb", "O", "O", "O", "O", "O", "O", "O", "O", "O", "O", "O", "O"],
  "fractional_positions": [[0.0000, 0.0000, 0.0000], [0.0000, 0.5000, 0.5000], [0.5000, 0.0000, 0.5000], [0.5000, 0.5000, 0.0000], [0.2589, 0.0237, 0.7533], [0.2589, 0.4763, 0.2533], [0.7411, 0.5237, 0.7467], [0.7411, 0.9763, 0.2467], [0.1923, 0.0125, 0.2647], [0.1923, 0.4875, 0.7647], [0.2701, 0.7022, 0.0391], [0.2701, 0.7978, 0.5391], [0.3401, 0.2255, 0.0360], [0.3401, 0.2745, 0.5360], [0.6599, 0.7255, 0.4640], [0.6599, 0.7745, 0.9640], [0.7299, 0.2022, 0.4609], [0.7299, 0.2978, 0.9609], [0.8077, 0.5125, 0.2353], [0.8077, 0.9875, 0.7353]],
  "dos_ef_per_ev_fu": 0.0,
  "crystal_system": "monoclinic",
  "e_form_raw_ev_per_atom": -1.88
}

15.
{
  "formula": "Dy2ScPb2O2",
  "functional": "GGA-PBE",
  "state": "optimized geometry",
  "lattice_angstrom": [[-2.0718, 2.0718, 8.1983], [2.0718, -2.0718, 8.1983], [2.0718, 2.0718, -8.1983]],
  "species": ["Dy", "Dy", "Sc", "Pb", "Pb", "O", "O"],
  "fractional_positions": [[0.1015, 0.1015, 0.0000], [0.8985, 0.8985, 0.0000], [0.5000, 0.5000, 0.0000], [0.3026, 0.3026, 0.0000], [0.6974, 0.6974, 0.0000], [0.0000, 0.5000, 0.5000], [0.5000, 0.0000, 0.5000]],
  "dos_ef_per_ev_fu": 4.1,
  "crystal_system": "tetragonal",
  "e_form_raw_ev_per_atom": -1.68
}

16.
{
  "formula": "DyScPbO2",
  "functional": "GGA-PBE",
  "state": "optimized geometry",
  "lattice_angstrom": [[-1.8707, 1.8707, 6.9290], [1.8707, -1.8707, 6.9290], [1.8707, 1.8707, -6.9290]],
  "species": ["Dy", "Sc", "Pb", "O", "O"],
  "fractional_positions": [[0.0000, 0.0000, 0.0000], [0.3467, 0.3467, 0.0000], [0.6755, 0.6755, 0.0000], [0.4142, 0.9142, 0.5000], [0.9142, 0.4142, 0.5000]],
  "dos_ef_per_ev_fu": 1.5,
  "crystal_system": "tetragonal",
  "e_form_raw_ev_per_atom": -2.49
}

17.
{
  "formula": "Dy2Sc2Pb2O",
  "functional": "GGA-PBE",
  "state": "optimized geometry",
  "lattice_angstrom": [[-2.2076, 2.2076, 8.2047], [2.2076, -2.2076, 8.2047], [2.2076, 2.2076, -8.2047]],
  "species": ["Dy", "Dy", "Sc", "Sc", "Pb", "Pb", "O"],
  "fractional_positions": [[0.1689, 0.1689, 0.0000], [0.8311, 0.8311, 0.0000], [0.0000, 0.5000, 0.5000], [0.5000, 0.0000, 0.5000], [0.3640, 0.3640, 0.0000], [0.6360, 0.6360, 0.0000], [0.0000, 0.0000, 0.0000]],
  "dos_ef_per_ev_fu": 6.5,
  "crystal_system": "tetragonal",
  "e_form_raw_ev_per_atom": -1.22
}

18.
{
  "formula": "DyPbSeO5",
  "functional": "GGA-PBE",
  "state": "optimized geometry",
  "lattice_angstrom": [[3.8220, -4.9430, 0.0000], [3.8220, 4.9430, 0.0000], [-3.5460, 0.0000, 7.1613]],
  "species": ["Dy", "Dy", "Pb", "Pb", "Se", "Se", "O", "O", "O", "O", "O", "O", "O", "O", "O", "O"],
  "fractional_positions": [[0.0000, 0.5000, 0.0000], [0.5000, 0.0000, 0.5000], [0.0457, 0.9543, 0.7500], [0.9543, 0.0457, 0.2500], [0.4484, 0.5516, 0.7500], [0.5516, 0.4484, 0.2500], [0.1775, 0.8225, 0.2500], [0.2183, 0.2710, 0.1029], [0.2710, 0.2183, 0.6029], [0.3107, 0.6289, 0.9020], [0.3711, 0.6893, 0.5980], [0.6289, 0.3107, 0.4020], [0.6893, 0.3711, 0.0980], [0.7290, 0.7817, 0.3971], [0.7817, 0.7290, 0.8971], [0.8225, 0.1775, 0.7500]],
  "dos_ef_per_ev_fu": 2.1,
  "crystal_system": "monoclinic",
  "e_form_raw_ev_per_atom": -1.62
}

19.
{
  "formula": "DyPbSe2O8",
  "functional": "GGA-PBE",
  "state": "optimized geometry",
  "lattice_angstrom": [[4.4306, -3.0330, 0.0000], [4.4306, 3.0330, 0.0000], [-0.0157, 0.0000, 7.7683]],
  "species": ["Dy", "Pb", "Se", "Se", "O", "O", "O", "O", "O", "O", "O", "O"],
  "fractional_positions": [[0.0000, 0.0000, 0.0000], [0.0000, 0.0000, 0.5000], [0.3687, 0.3687, 0.2335], [0.6313, 0.6313, 0.7665], [0.2121, 0.7233, 0.2232], [0.2464, 0.2464, 0.0655], [0.2767, 0.7879, 0.7768], [0.2806, 0.2806, 0.4242], [0.7194, 0.7194, 0.5758], [0.7233, 0.2121, 0.2232], [0.7536, 0.7536, 0.9345], [0.7879, 0.2767, 0.7768]],
  "dos_ef_per_ev_fu": 2.7,
  "crystal_system": "monoclinic",
  "e_form_raw_ev_per_atom": -1.31
}

20.
{
  "formula": "Dy2SiPbO6",
  "functional": "GGA-PBE",
  "state": "optimized geometry",
  "lattice_angstrom": [[5.3009, 0.0000, 0.0000], [0.0000, 5.3009, 0.0000], [0.0000, 0.0000, 5.3714]],
  "species": ["Dy", "Dy", "Si", "Pb", "O", "O", "O", "O", "O", "O"],
  "fractional_positions": [[0.0000, 0.5000, 0.0000], [0.5000, 0.0000, 0.0000], [0.0000, 0.0000, 0.6558], [0.5000, 0.5000, 0.5477], [0.0000, 0.0000, 0.3454], [0.2206, 0.2206, 0.7731], [0.2206, 0.7794, 0.7731], [0.5000, 0.5000, 0.1106], [0.7794, 0.2206, 0.7731], [0.7794, 0.7794, 0.7731]],
  "dos_ef_per_ev_fu": 0.0,
  "crystal_system": "tetragonal",
  "e_form_raw_ev_per_atom": -2.53
}